PBE-GGA BaSr4Sc, optimized geometry; mass density = 2.85 g/cm3; Fermi-level density of states = 12.38 states/eV/f.u.; symmetry = F-43m, No. 216; energy of formation = 0.390 eV/atom
1.0
-1.571 -2.647 6.946
-6.802 1.316 3.118
-4.950 -5.699 0.864
Sc Sr Ba
1 4 1
Cartesian
0.000 0.000 0.000
-8.411 -1.965 5.659
-4.982 -2.629 4.087
-7.477 -5.502 4.523
-5.774 -3.963 7.589
-9.992 -5.272 8.197


PBE-GGA TaBeAg, optimized geometry; mass density = 11.14 g/cm3; Fermi-level density of states = 1.48 states/eV/f.u.; symmetry = P-1, No. 2; energy of formation = 0.173 eV/atom
1.0
-0.562 2.471 1.188
2.664 -0.885 6.466
3.777 2.113 -1.660
Be Ta Ag
2 2 2
Cartesian
3.352 2.663 4.734
1.884 0.022 2.632
1.904 0.495 5.210
3.333 2.192 2.155
0.448 1.778 1.565
2.125 1.795 -0.665


PBE-GGA Pr3Si2NiPt9, optimized geometry; mass density = 12.42 g/cm3; Fermi-level density of states = 6.68 states/eV/f.u.; symmetry = P-3m1, No. 164; DFT total energy = -0.4742 Ry/atom
1.0
5.760 0.000 0.000
-2.880 4.989 0.000
0.000 0.000 10.674
Pr Pt Ni Si
3 9 1 2
Cartesian
0.000 0.000 0.000
2.880 1.663 4.455
0.000 3.326 6.219
-1.492 4.187 3.364
1.492 4.187 3.364
1.440 2.494 0.000
2.880 0.000 0.000
4.372 0.802 7.310
-1.440 2.494 0.000
2.880 3.385 7.310
1.389 0.802 7.310
0.000 1.604 3.364
0.000 0.000 5.337
2.880 1.663 8.920
0.000 3.326 1.754


PBE-GGA LiCa3, optimized geometry; mass density = 1.38 g/cm3; Fermi-level density of states = 4.62 states/eV/f.u.; symmetry = Pmm2, No. 25; energy of formation = 0.153 eV/atom
1.0
-1.081 -3.596 0.471
0.176 -0.521 -3.575
10.666 -3.077 0.973
Li Ca
1 3
Cartesian
10.360 -2.989 0.946
7.206 -4.033 0.943
5.055 -1.694 -1.334
1.360 -2.582 -1.386


PBE-GGA La2MgSc, optimized geometry; mass density = 4.69 g/cm3; Fermi-level density of states = 5.86 states/eV/f.u.; symmetry = Immm, No. 71; energy of formation = 0.092 eV/atom
1.0
6.716 0.152 -0.059
3.284 5.860 0.059
-4.434 -3.946 3.145
La Sc Mg
2 1 1
Cartesian
9.766 5.872 0.000
5.233 3.146 0.000
1.925 2.460 1.602
3.641 -0.394 1.543


PBE-GGA TmZnPd2, optimized geometry; mass density = 10.57 g/cm3; Fermi-level density of states = 1.62 states/eV/f.u.; symmetry = P4/mmm, No. 123; energy of formation = -0.712 eV/atom
1.0
3.555 0.000 0.000
0.000 4.446 0.000
0.000 0.000 4.446
Pd Zn Tm
2 1 1
Cartesian
0.000 2.223 0.000
0.000 0.000 2.223
1.777 0.000 0.000
1.777 2.223 2.223


PBE-GGA Pm3Nd2Y8, optimized geometry; mass density = 5.24 g/cm3; Fermi-level density of states = 17.68 states/eV/f.u.; symmetry = C2/m, No. 12; energy of formation = 0.228 eV/atom
1.0
-4.108 2.830 -4.848
-9.234 1.616 2.157
-3.491 8.836 1.505
Nd Y Pm
2 8 3
Cartesian
-12.075 9.642 0.422
-4.758 3.639 -1.608
-8.641 9.009 0.008
-8.192 4.273 -1.194
-9.155 7.007 -3.043
-10.711 6.406 0.243
-6.122 6.876 -1.429
-2.488 2.036 0.636
-14.345 11.245 -1.822
-7.677 6.274 1.857
-2.054 1.415 -2.424
-4.490 7.580 1.618
-8.235 2.872 2.043


PBE-GGA IrPt6Rh, optimized geometry; mass density = 19.84 g/cm3; Fermi-level density of states = 14.53 states/eV/f.u.; symmetry = P4/mmm, No. 123; energy of formation = 0.020 eV/atom
1.0
3.944 0.000 0.000
0.000 3.944 0.000
0.000 0.000 7.886
Pt Rh Ir
6 1 1
Cartesian
1.972 0.000 5.908
0.000 1.972 5.908
1.972 1.972 3.943
0.000 1.972 1.978
1.972 1.972 0.000
1.972 0.000 1.978
0.000 0.000 0.000
0.000 0.000 3.943


PBE-GGA CsZrI3, optimized geometry; mass density = 3.85 g/cm3; Fermi-level density of states = 0.00 states/eV/f.u.; symmetry = Imm2, No. 44; DFT total energy = -0.2828 Ry/atom
1.0
-2.724 3.201 5.050
-6.027 -7.294 -2.903
8.154 -1.973 5.650
I Zr Cs
6 2 2
Cartesian
-0.070 0.304 6.025
0.046 -6.426 6.080
-4.283 -3.329 1.781
-2.668 -7.039 0.731
-0.725 -0.940 2.186
3.333 -6.312 3.507
-5.377 -5.822 0.391
-6.893 -4.040 3.203
1.600 -3.063 4.785
-3.839 -0.470 4.481


PBE-GGA Li4CdAg3, optimized geometry; mass density = 5.52 g/cm3; Fermi-level density of states = 2.21 states/eV/f.u.; symmetry = C2/m, No. 12; energy of formation = -0.148 eV/atom
1.0
-1.310 -2.419 -1.401
2.599 0.845 -3.888
8.286 -4.196 2.902
Li Cd Ag
4 1 3
Cartesian
4.399 -2.443 0.106
5.177 -3.328 -2.494
2.156 -2.181 -1.650
7.420 -3.589 -0.738
-0.655 -1.210 -0.701
4.336 -0.756 -2.746
1.300 0.423 -1.944
5.240 -5.014 0.358


PBE-GGA GdScIn2, optimized geometry; mass density = 7.18 g/cm3; Fermi-level density of states = 2.47 states/eV/f.u.; symmetry = Fm-3m, No. 225; energy of formation = -0.438 eV/atom
1.0
-4.735 -1.166 1.829
-0.676 -4.224 2.972
-1.033 0.527 5.078
In Sc Gd
2 1 1
Cartesian
-4.833 -3.647 7.409
-1.611 -1.216 2.470
-3.222 -2.432 4.939
0.000 0.000 0.000


PBE-GGA TmZn3Ag, optimized geometry; mass density = 8.70 g/cm3; Fermi-level density of states = 1.72 states/eV/f.u.; symmetry = P2_1/m, No. 11; energy of formation = -0.234 eV/atom
1.0
-3.372 3.356 2.460
-3.875 -3.701 -0.264
1.773 -2.255 5.588
Ag Tm Zn
2 2 6
Cartesian
-2.732 -3.384 5.783
-2.742 0.784 2.001
-0.997 -1.221 4.493
-4.478 -1.379 3.290
-3.407 -0.849 6.555
-2.424 -3.519 3.144
-2.067 -1.751 1.229
-5.284 -2.641 6.427
-3.050 0.919 4.639
-0.190 0.041 1.357